PBE+U ZnMoO2, optimized geometry; theoretical density = 5.90 g cm⁻³; VASP energy = -5.4605 eV/atom; crystal system = tetragonal; SG = I-42d
1.0
-2.735 2.735 3.639
2.735 -2.735 3.639
2.735 2.735 -3.639
Zn Mo O
2 2 4
Cartesian
0.000 0.000 0.000 Zn
0.000 2.735 1.820 Zn
2.735 0.000 1.820 Mo
0.000 0.000 3.639 Mo
4.103 1.172 -0.910 O
1.172 1.368 0.910 O
-1.368 1.563 2.730 O
1.563 1.368 4.549 O